BaPa4S8 | the Alexandria database | GGA-PBE | optimized geometry; total magnetization = 6.0 μB per formula unit; symmetry = F-43m, No. 216; E = -0.528 Ry per atom
1.0
-6.9427 -1.6631 4.2873
-4.6876 -6.5700 -2.0519
-0.3014 -6.6325 5.0267
S Pa Ba
8 4 1
direct
0.1400 0.5800 0.1400
0.6053 0.6053 0.6053
0.5800 0.1400 0.1400
0.6053 0.6053 0.1841
0.1400 0.1400 0.1400
0.6053 0.1841 0.6053
0.1400 0.1400 0.5800
0.1841 0.6053 0.6053
0.3717 0.8849 0.3717
0.3717 0.3717 0.8849
0.8849 0.3717 0.3717
0.3717 0.3717 0.3717
0.7500 0.7500 0.7500

=====

BaPaS4 | the Alexandria database | GGA-PBE | optimized geometry; relative energy among the computed polymorphs = 0.011 eV per atom; total magnetization = 0.0 μB per formula unit; symmetry = Cmmm, No. 65; E = -0.445 Ry per atom
1.0
-2.2905 2.8624 -2.2206
-3.7050 1.3711 5.5891
4.5278 4.8732 1.6114
Pa S Ba
1 4 1
direct
0.0000 0.5000 0.5000
0.5000 0.6696 0.3304
0.5000 0.3304 0.6696
0.0000 0.2337 0.2337
0.0000 0.7663 0.7663
0.5000 0.0000 0.0000

=====

Ba3Pa2S9 | the Alexandria database | GGA-PBE | optimized geometry; total magnetization = 0.0 μB per formula unit; symmetry = R-3c, No. 167; E = -0.440 Ry per atom
1.0
9.1203 0.0099 0.8267
0.7560 9.0890 0.8267
0.0108 0.0099 9.1577
S Ba Pa
18 6 4
direct
0.2319 0.6034 0.4306
0.5883 0.9117 0.7500
0.5694 0.7681 0.3966
0.7681 0.3966 0.5694
0.9306 0.1034 0.7319
0.7319 0.9306 0.1034
0.9117 0.7500 0.5883
0.7500 0.5883 0.9117
0.2500 0.4117 0.0883
0.0694 0.8966 0.2681
0.6034 0.4306 0.2319
0.3966 0.5694 0.7681
0.1034 0.7319 0.9306
0.2681 0.0694 0.8966
0.0883 0.2500 0.4117
0.4117 0.0883 0.2500
0.8966 0.2681 0.0694
0.4306 0.2319 0.6034
0.9225 0.5775 0.2500
0.5775 0.2500 0.9225
0.2500 0.9225 0.5775
0.4225 0.7500 0.0775
0.7500 0.0775 0.4225
0.0775 0.4225 0.7500
0.8559 0.8559 0.8559
0.3559 0.3559 0.3559
0.1441 0.1441 0.1441
0.6441 0.6441 0.6441

=====

BaPaSb2S8 | the Alexandria database | GGA-PBE | optimized geometry; total magnetization = 0.0 μB per formula unit; symmetry = P-3, No. 147; E = -0.376 Ry per atom
1.0
6.5244 0.0000 0.0000
-3.2622 5.6503 0.0000
0.0000 0.0000 9.2763
Ba S Pa Sb
1 8 1 2
direct
0.0000 0.0000 0.0000
0.3333 0.6667 0.9970
0.6674 0.9698 0.3209
0.6976 0.6674 0.6791
0.0302 0.6976 0.3209
0.3024 0.3326 0.3209
0.3326 0.0302 0.6791
0.6667 0.3333 0.0030
0.9698 0.3024 0.6791
0.0000 0.0000 0.5000
0.3333 0.6667 0.7480
0.6667 0.3333 0.2520

=====

Ba2PaSbS6 | the Alexandria database | GGA-PBE | optimized geometry; total magnetization = 0.2 μB per formula unit; symmetry = P4/mmm, No. 123; E = -0.416 Ry per atom
1.0
-0.5066 -1.9755 4.8467
-1.5288 -4.6011 -2.0352
9.9661 -3.1960 -0.2610
Pa S Ba Sb
1 6 2 1
direct
0.5000 0.5000 0.0000
0.5000 0.0000 0.5000
0.5000 0.5000 0.7546
0.5000 0.5000 0.2454
0.0000 0.5000 0.0000
0.0000 0.5000 0.5000
0.5000 0.0000 0.0000
0.0000 0.0000 0.7148
0.0000 0.0000 0.2852
0.5000 0.5000 0.5000

=====

Ba2ScPaS6 | the Alexandria database | GGA-PBE | optimized geometry; total magnetization = 0.0 μB per formula unit; symmetry = P2_1/c, No. 14; E = -0.470 Ry per atom
1.0
-4.2554 1.6091 -5.5192
-2.4254 -6.8908 -0.1390
-7.4490 2.4904 6.5155
Sc Ba S Pa
2 4 12 2
direct
0.0000 0.5000 0.0000
0.5000 0.0000 0.5000
0.5128 0.5513 0.7489
0.9872 0.0513 0.7511
0.4872 0.4487 0.2511
0.0128 0.9487 0.2489
0.2876 0.7083 0.0367
0.7124 0.2917 0.9633
0.5696 0.0111 0.2528
0.2923 0.7126 0.4632
0.0696 0.4889 0.7528
0.9304 0.5111 0.2472
0.2077 0.2126 0.0368
0.4304 0.9889 0.7472
0.2124 0.2083 0.4633
0.7923 0.7874 0.9632
0.7876 0.7917 0.5367
0.7077 0.2874 0.5368
0.0000 0.5000 0.5000
0.5000 0.0000 0.0000

=====

BaPaSe2S | the Alexandria database | GGA-PBE | optimized geometry; total magnetization = 0.4 μB per formula unit; symmetry = Cmcm, No. 63; E = -0.450 Ry per atom
1.0
-1.6553 -3.2923 -1.9021
6.0513 3.2727 -6.4102
5.6847 -4.6013 3.0173
Se S Pa Ba
4 2 2 2
direct
0.8537 0.7074 0.5281
0.8537 0.7074 0.9719
0.1463 0.2926 0.0281
0.1463 0.2926 0.4719
0.4904 0.9807 0.2500
0.5096 0.0193 0.7500
0.0000 0.0000 0.0000
0.0000 0.0000 0.5000
0.3007 0.6014 0.2500
0.6993 0.3986 0.7500

=====

BaPaSeS2 | the Alexandria database | GGA-PBE | optimized geometry; total magnetization = 0.6 μB per formula unit; symmetry = Cmcm, No. 63; E = -0.466 Ry per atom
1.0
4.3422 0.0000 0.0000
-2.1711 8.5992 0.0000
0.0000 0.0000 8.0278
Ba Se S Pa
2 2 4 2
direct
0.2951 0.5902 0.2500
0.7049 0.4098 0.7500
0.5041 0.0083 0.7500
0.4959 0.9917 0.2500
0.8511 0.7022 0.9951
0.1489 0.2978 0.0049
0.8511 0.7022 0.5049
0.1489 0.2978 0.4951
0.0000 0.0000 0.0000
0.0000 0.0000 0.5000

=====

BaPa2SiS8 | the Alexandria database | GGA-PBE | optimized geometry; total magnetization = 0.0 μB per formula unit; symmetry = P2/m, No. 10; E = -0.451 Ry per atom
1.0
-5.9370 -0.0244 2.3002
0.2264 -5.4963 2.7034
2.7200 3.5836 7.0577
Pa S Si Ba
2 8 1 1
direct
0.5000 0.5000 0.7614
0.5000 0.5000 0.2386
0.3581 0.2787 0.0000
0.8483 0.2229 0.8109
0.6365 0.6985 0.5000
0.3635 0.3015 0.5000
0.6419 0.7213 0.0000
0.1517 0.7771 0.8109
0.8483 0.2229 0.1891
0.1517 0.7771 0.1891
0.0000 0.0000 0.0000
0.0000 0.0000 0.5000

=====

Ba2PaSnS6 | the Alexandria database | GGA-PBE | optimized geometry; total magnetization = 0.0 μB per formula unit; symmetry = P2_1/c, No. 14; E = -0.422 Ry per atom
1.0
-2.6163 3.3158 -5.8365
-6.3657 -3.8421 0.6708
-3.8611 7.4491 6.0257
S Sn Ba Pa
12 2 4 2
direct
0.7052 0.2998 0.5434
0.7948 0.7998 0.9566
0.1971 0.2059 0.4555
0.2948 0.7002 0.4566
0.3029 0.7059 0.0445
0.8029 0.7941 0.5445
0.4147 0.9826 0.7527
0.9147 0.5174 0.2527
0.2052 0.2002 0.0434
0.6971 0.2941 0.9555
0.0853 0.4826 0.7473
0.5853 0.0174 0.2473
0.5000 0.0000 0.5000
0.0000 0.5000 0.0000
0.0180 0.9359 0.2484
0.4820 0.4359 0.2516
0.5180 0.5641 0.7484
0.9820 0.0641 0.7516
0.5000 0.0000 0.0000
0.0000 0.5000 0.5000

=====

Ba2SrPaS6 | the Alexandria database | GGA-PBE | optimized geometry; total magnetization = 0.8 μB per formula unit; symmetry = P2_1/c, No. 14; E = -0.423 Ry per atom
1.0
7.3861 0.0000 0.0636
0.0000 7.7959 0.0000
0.1557 0.0000 10.5503
S Ba Pa Sr
12 4 2 2
direct
0.6125 0.0396 0.2637
0.8171 0.7791 0.9361
0.1125 0.4604 0.7637
0.3171 0.7209 0.4361
0.2858 0.6882 0.0509
0.7858 0.8118 0.5509
0.7142 0.3118 0.9491
0.8875 0.5396 0.2363
0.1829 0.2209 0.0639
0.3875 0.9604 0.7363
0.6829 0.2791 0.5639
0.2142 0.1882 0.4491
0.9735 0.0705 0.7439
0.4735 0.4295 0.2439
0.0265 0.9295 0.2561
0.5265 0.5705 0.7561
0.5000 0.0000 0.5000
0.0000 0.5000 0.0000
0.5000 0.0000 0.0000
0.0000 0.5000 0.5000

=====

BaPa2TaS8 | the Alexandria database | GGA-PBE | optimized geometry; total magnetization = 1.1 μB per formula unit; symmetry = P-1, No. 2; E = -0.502 Ry per atom
1.0
6.3771 0.0485 -0.0032
0.0964 6.0441 -0.0043
0.0073 0.0124 8.3701
S Ta Pa Ba
8 1 2 1
direct
0.3204 0.2640 0.0002
0.6067 0.7311 0.4999
0.3933 0.2689 0.5001
0.6796 0.7360 0.9998
0.8329 0.2368 0.8006
0.1677 0.7638 0.8008
0.1671 0.7632 0.1994
0.8323 0.2362 0.1992
0.0000 0.0000 0.0000
0.5000 0.4999 0.7566
0.5000 0.5001 0.2434
0.0000 0.0000 0.5000

=====

BaPaTaS6 | the Alexandria database | GGA-PBE | optimized geometry; total magnetization = 0.0 μB per formula unit; symmetry = P-31c, No. 163; E = -0.499 Ry per atom
1.0
6.6868 0.0000 0.0000
-3.3434 5.7910 0.0000
0.0000 0.0000 13.5658
S Ta Pa Ba
12 2 2 2
direct
0.0200 0.3919 0.6422
0.6081 0.6281 0.6422
0.3719 0.9800 0.6422
0.3919 0.3719 0.3578
0.3719 0.3919 0.8578
0.9800 0.3719 0.1422
0.6281 0.0200 0.3578
0.6281 0.6081 0.1422
0.3919 0.0200 0.1422
0.9800 0.6081 0.3578
0.6081 0.9800 0.8578
0.0200 0.6281 0.8578
0.3333 0.6667 0.7500
0.6667 0.3333 0.2500
0.3333 0.6667 0.2500
0.6667 0.3333 0.7500
0.0000 0.0000 0.0000
0.0000 0.0000 0.5000

=====

BaTbPa2S8 | the Alexandria database | GGA-PBE | optimized geometry; total magnetization = 0.0 μB per formula unit; symmetry = P2/m, No. 10; E = -0.472 Ry per atom
1.0
-5.1421 -1.5594 -3.6263
3.5550 -4.0254 -3.6430
-1.8045 -6.3995 5.3122
S Tb Pa Ba
8 1 2 1
direct
0.2036 0.7704 0.7803
0.3180 0.3055 0.0000
0.7962 0.2294 0.7803
0.2037 0.7706 0.2197
0.6820 0.6945 0.0000
0.7964 0.2296 0.2197
0.6535 0.6858 0.5001
0.3465 0.3142 0.4999
0.0000 0.0000 0.0000
0.5001 0.5001 0.2484
0.4999 0.4999 0.7516
0.0000 0.0000 0.5000

=====

Ba2PaTeS6 | the Alexandria database | GGA-PBE | optimized geometry; total magnetization = 0.4 μB per formula unit; symmetry = P4/mmm, No. 123; E = -0.401 Ry per atom
1.0
5.2734 0.0000 0.0000
0.0000 5.2734 0.0000
0.0000 0.0000 10.3973
S Te Pa Ba
6 1 1 2
direct
0.0000 0.5000 0.0000
0.5000 0.5000 0.7516
0.5000 0.5000 0.2484
0.5000 0.0000 0.5000
0.5000 0.0000 0.0000
0.0000 0.5000 0.5000
0.5000 0.5000 0.5000
0.5000 0.5000 0.0000
0.0000 0.0000 0.7189
0.0000 0.0000 0.2811

=====

BaThPa2S8 | the Alexandria database | GGA-PBE | optimized geometry; total magnetization = 0.0 μB per formula unit; symmetry = P2/m, No. 10; E = -0.498 Ry per atom
1.0
-6.1894 -0.6528 1.9486
1.8305 -2.3418 5.6351
0.1815 7.9071 3.2278
Ba S Pa Th
1 8 2 1
direct
0.0000 0.0000 0.5000
0.6563 0.7156 0.0000
0.6224 0.7111 0.5000
0.3437 0.2844 0.0000
0.1733 0.7433 0.2239
0.8267 0.2567 0.7761
0.3776 0.2889 0.5000
0.8266 0.2566 0.2239
0.1734 0.7434 0.7761
0.5000 0.5000 0.7512
0.5000 0.5000 0.2488
0.0000 0.0000 0.0000

=====

BaTh2PaS8 | the Alexandria database | GGA-PBE | optimized geometry; total magnetization = 0.0 μB per formula unit; symmetry = P-1, No. 2; E = -0.483 Ry per atom
1.0
-2.5981 -0.5071 -5.8601
-1.8702 -5.6204 1.2145
-7.7703 3.2492 3.1589
Th S Pa Ba
2 8 1 1
direct
0.5002 0.5007 0.2361
0.4998 0.4993 0.7639
0.8609 0.2525 0.2139
0.6520 0.7456 0.9993
0.5373 0.7606 0.5000
0.3480 0.2544 0.0007
0.4627 0.2394 0.5000
0.8624 0.2540 0.7855
0.1376 0.7460 0.2145
0.1391 0.7475 0.7861
0.0000 0.0000 0.0000
0.0000 0.0000 0.5000

=====

Ba2PaTiS6 | the Alexandria database | GGA-PBE | optimized geometry; total magnetization = 1.0 μB per formula unit; symmetry = P4/mmm, No. 123; E = -0.465 Ry per atom
1.0
-4.5201 1.5967 1.7671
-2.2809 -3.9928 -2.2267
1.3531 -5.4485 8.3840
S Ba Ti Pa
6 2 1 1
direct
0.5000 0.5000 0.7433
0.5000 0.5000 0.2567
0.5000 0.0000 0.0000
0.0000 0.5000 0.0000
0.0000 0.5000 0.5000
0.5000 0.0000 0.5000
0.0000 0.0000 0.7146
0.0000 0.0000 0.2854
0.5000 0.5000 0.5000
0.5000 0.5000 0.0000

=====

BaPa2TiS8 | the Alexandria database | GGA-PBE | optimized geometry; total magnetization = 0.0 μB per formula unit; symmetry = P2/m, No. 10; E = -0.484 Ry per atom
1.0
6.3666 0.1153 -0.0045
0.1803 6.0440 -0.0067
0.0058 0.0092 8.3530
S Ti Ba Pa
8 1 1 2
direct
0.1670 0.7648 0.8032
0.1670 0.7648 0.1968
0.8330 0.2352 0.8032
0.8330 0.2352 0.1968
0.3304 0.2716 0.0000
0.3880 0.2749 0.5000
0.6696 0.7284 0.0000
0.6120 0.7251 0.5000
0.0000 0.0000 0.0000
0.0000 0.0000 0.5000
0.5000 0.5000 0.7571
0.5000 0.5000 0.2429

=====

no.,formation energy from raw total energies (eV per atom)
1,-1.57
2,-1.39
3,-1.56
4,-0.72
5,-1.43
6,-1.95
7,-1.61
8,-1.71
9,-1.20
10,-1.53
11,-1.77
12,-1.35
13,-1.45
14,-1.54
15,-1.33
16,-1.66
17,-1.63
18,-1.72
19,-1.43